Material: RbScC
Method: DFT, PBE
State: optimized geometry

Results
Total magnetic moment, μB per atom: 0.000
SG: F-43m
Calculated formation energy, eV/atom: 1.384
ρ, kg/m3: 3663
N(E_F), states/eV per cell: 0.000

a = 4.5032 Å, b = 4.5032 Å, c = 4.5032 Å
α = 60.00°, β = 60.00°, γ = 60.00°
Closest atoms and distances in Å follow each position.
Fractional coordinates of all 3 atoms:
Sc 0.7500 0.7500 0.7500  4 C 2.76
Rb 0.2500 0.2500 0.2500  4 C 2.76
C 0.5000 0.5000 0.5000  4 Sc 2.76, 4 Rb 2.76